# 1
# PrCd

An optimized crystal structure of PrCd (GGA-PBE, OQMD).

The symmetry is Fm-3m. The magnetic moment is 0.0 μB/f.u. The formation energy from the elements comes out at 1.9 kJ/mol of atoms.

```
PrCd
1.0
0.000 3.207 3.207
3.207 0.000 3.207
3.207 3.207 0.000
Pr Cd
1 1
Direct
0.500 0.500 0.500 Pr
0.000 0.000 0.000 Cd
```

---

# 2
# PrCd

An optimized crystal structure of PrCd (GGA-PBE, OQMD).

The symmetry is F-43m. The magnetic moment is 0.5 μB/f.u. The formation energy from the elements comes out at 61.0 kJ/mol of atoms.

```
PrCd
1.0
0.000 3.488 3.488
3.488 0.000 3.488
3.488 3.488 0.000
Pr Cd
1 1
Direct
0.250 0.250 0.250 Pr
0.000 0.000 0.000 Cd
```